{
  "formula": "Li5SbS",
  "functional": "GGA-PBE",
  "state": "relaxed",
  "m_tot_mub_per_fu": 0.00,
  "raw_formation_energy_ev_per_atom": -0.8835,
  "crystal_system": "orthorhombic",
  "relative_energy_mev_per_atom": 0,
  "lattice": [[4.538, 0.000, 0.000], [0.000, 5.922, 0.000], [0.000, 0.000, 18.153]],
  "species": ["Li", "Li", "Li", "Li", "Li", "Li", "Li", "Li", "Li", "Li", "Li", "Li", "Li", "Li", "Li", "Li", "Li", "Li", "Li", "Li", "Sb", "Sb", "Sb", "Sb", "S", "S", "S", "S"],
  "frac_coords": [[0.249, 0.744, 0.696], [0.746, 0.744, 0.590], [0.249, 0.256, 0.696], [0.745, 0.000, 0.467], [0.746, 0.256, 0.590], [0.246, 0.244, 0.410], [0.245, 0.500, 0.533], [0.749, 0.244, 0.304], [0.246, 0.756, 0.410], [0.749, 0.756, 0.304], [0.251, 0.256, 0.196], [0.754, 0.256, 0.090], [0.251, 0.744, 0.196], [0.755, 0.000, 0.967], [0.754, 0.744, 0.090], [0.254, 0.756, 0.910], [0.255, 0.500, 0.033], [0.751, 0.756, 0.804], [0.254, 0.244, 0.910], [0.751, 0.244, 0.804], [0.246, 0.000, 0.561], [0.746, 0.500, 0.439], [0.254, 0.000, 0.061], [0.754, 0.500, 0.939], [0.749, 0.500, 0.698], [0.249, 0.000, 0.302], [0.751, 0.500, 0.198], [0.251, 0.000, 0.802]]
}